First-principles (PBE-GGA) data for a relaxed Li5PtO5 crystal, as listed in Alexandria.

N(E_F) (states/eV/atom): 0.560
Crystal system: monoclinic

Unit cell a=4.011 b=5.255 c=5.870 alpha=107.10 beta=90.00 gamma=112.44
Element x y z (fractional)
Li: 0.705 0.411 0.339
Li: 0.690 0.379 0.861
Li: 0.000 0.000 0.500
Li: 0.310 0.621 0.139
Li: 0.295 0.589 0.661
Pt: 0.000 0.000 0.000
O: 0.853 0.705 0.176
O: 0.843 0.686 0.677
O: 0.500 0.000 0.000
O: 0.157 0.314 0.323
O: 0.147 0.295 0.824



First-principles (PBE-GGA) data for a relaxed Li2PtO3 crystal, as listed in Alexandria.

N(E_F) (states/eV/atom): 0.000
Crystal system: monoclinic

Unit cell a=5.270 b=5.270 c=29.003 alpha=89.98 beta=89.98 gamma=119.94
Element x y z (fractional)
Li: 0.333 0.667 0.000
Li: 0.006 0.336 0.083
Li: 0.662 0.665 0.083
Li: 0.333 0.000 0.083
Li: 0.333 0.333 0.167
Li: 0.336 0.665 0.250
Li: 0.001 0.001 0.250
Li: 0.664 0.336 0.250
Li: 0.667 0.667 0.333
Li: 0.669 0.997 0.417
Li: 0.333 0.333 0.417
Li: 0.997 0.669 0.417
Li: 0.000 0.000 0.500
Li: 0.331 0.003 0.583
Li: 0.667 0.667 0.583
Li: 0.003 0.331 0.583
Li: 0.333 0.333 0.667
Li: 0.664 0.336 0.750
Li: 0.999 0.999 0.750
Li: 0.335 0.664 0.750
Li: 0.667 0.667 0.833
Li: 0.335 0.338 0.917
Li: 0.664 0.994 0.917
Li: 0.000 0.667 0.917
Pt: 0.667 0.333 0.000
Pt: 0.000 0.000 0.000
Pt: 0.667 0.000 0.167
Pt: 0.000 0.667 0.167
Pt: 0.000 0.333 0.333
Pt: 0.333 0.000 0.333
Pt: 0.333 0.667 0.500
Pt: 0.667 0.333 0.500
Pt: 0.667 0.000 0.667
Pt: 0.000 0.667 0.667
Pt: 0.000 0.333 0.833
Pt: 0.333 0.000 0.833
O: 0.333 0.319 0.039
O: 0.680 0.014 0.039
O: 0.986 0.666 0.039
O: 0.333 0.681 0.127
O: 0.681 0.333 0.128
O: 0.986 0.987 0.128
O: 0.681 0.681 0.206
O: 0.986 0.333 0.205
O: 0.333 0.986 0.205
O: 0.666 0.014 0.295
O: 0.014 0.666 0.295
O: 0.319 0.319 0.294
O: 0.014 0.014 0.373
O: 0.319 0.667 0.372
O: 0.667 0.319 0.372
O: 0.000 0.347 0.461
O: 0.347 0.000 0.461
O: 0.653 0.653 0.461
O: 0.347 0.347 0.539
O: 0.653 0.000 0.539
O: 0.000 0.653 0.539
O: 0.681 0.333 0.628
O: 0.333 0.681 0.628
O: 0.986 0.986 0.627
O: 0.681 0.681 0.706
O: 0.334 0.986 0.705
O: 0.986 0.334 0.705
O: 0.014 0.667 0.795
O: 0.667 0.014 0.795
O: 0.319 0.319 0.794
O: 0.013 0.014 0.872
O: 0.319 0.667 0.873
O: 0.667 0.319 0.872
O: 0.986 0.320 0.961
O: 0.334 0.014 0.961
O: 0.681 0.667 0.961



no.,calculated total energy (eV per cell)
1,-56.26
2,-392.76